A) First-principles (PBE-GGA) data for a relaxed SnTeSe crystal, as listed in Alexandria.

Cell lengths 15.345, 3.963, 6.993 Å; angles 90.00, 116.56, 90.00 degrees
Space group C2/m (No. 12)
One atom of each set of equivalent atoms:
1 Sn 0.247 0.000 0.239 (multiplicity 4)
2 Te 0.118 0.000 0.452 (multiplicity 4)
3 Se 0.134 0.500 0.962 (multiplicity 4)

Results
DOS at the Fermi energy (states/eV per cell): 2.80



B) First-principles (PBE-GGA) data for a relaxed SnTeSe crystal, as listed in Alexandria.

Cell lengths 16.683, 4.111, 6.076 Å; angles 90.00, 90.00, 90.00 degrees
Space group Pnma (No. 62)
One atom of each set of equivalent atoms:
1 Sn 0.189 0.250 0.120 (multiplicity 4)
2 Te 0.042 0.750 0.124 (multiplicity 4)
3 Se 0.200 0.250 0.664 (multiplicity 4)

Results
DOS at the Fermi energy (states/eV per cell): 0.88



B) takes first place; second place is 1.8 kJ/mol of atoms up.



A) First-principles (PBE-GGA) data for a relaxed Th2SnSe crystal, as listed in Alexandria.

Cell lengths 4.2279, 4.2279, 23.4463 Å; angles 90.00, 90.00, 120.00 degrees
Space group R3m (No. 160, hexagonal axes)
One atom of each set of equivalent atoms:
1 Th 0.0000 0.0000 0.0000 (multiplicity 3)
2 Th 0.0000 0.0000 0.1680 (multiplicity 3)
3 Sn 0.0000 0.0000 0.5833 (multiplicity 3)
4 Se 0.0000 0.0000 0.7518 (multiplicity 3)

Results
DOS at the Fermi energy (states/eV per cell): 7.79



B) First-principles (PBE-GGA) data for a relaxed Th2SnSe crystal, as listed in Alexandria.

Cell lengths 3.623, 3.623, 8.103 Å; angles 90.00, 90.00, 90.00 degrees
Space group P4/mmm (No. 123)
One atom of each set of equivalent atoms:
1 Th 0.000 0.000 0.235 (multiplicity 2)
2 Sn 0.500 0.500 0.500 (multiplicity 1)
3 Se 0.500 0.500 0.000 (multiplicity 1)

Results
DOS at the Fermi energy (states/eV per cell): 3.49



C) First-principles (PBE-GGA) data for a relaxed Th2SnSe crystal, as listed in Alexandria.

Cell lengths 4.4277, 4.4277, 20.9773 Å; angles 90.00, 90.00, 120.00 degrees
Space group R-3m (No. 166, hexagonal axes)
One atom of each set of equivalent atoms:
1 Th 0.0000 0.0000 0.2436 (multiplicity 6)
2 Sn 0.0000 0.0000 0.0000 (multiplicity 3)
3 Se 0.0000 0.0000 0.5000 (multiplicity 3)

Results
DOS at the Fermi energy (states/eV per cell): 7.12



C) takes first place; second place is 9.3 kJ/mol of atoms up.



A) First-principles (PBE-GGA) data for a relaxed ThSn2Se4 crystal, as listed in Alexandria.

Cell lengths 16.027, 4.299, 7.485 Å; angles 90.00, 116.69, 90.00 degrees
Space group C2/m (No. 12)
One atom of each set of equivalent atoms:
1 Th 0.000 0.000 0.000 (multiplicity 2)
2 Sn 0.231 0.500 0.748 (multiplicity 4)
3 Se 0.111 0.500 0.261 (multiplicity 4)
4 Se 0.135 0.000 0.830 (multiplicity 4)



B) First-principles (PBE-GGA) data for a relaxed ThSn2Se4 crystal, as listed in Alexandria.

Cell lengths 4.092, 14.356, 13.971 Å; angles 90.00, 90.00, 90.00 degrees
Space group Cmcm (No. 63)
One atom of each set of equivalent atoms:
1 Th 0.000 0.118 0.250 (multiplicity 4)
2 Sn 0.000 0.372 0.064 (multiplicity 8)
3 Se 0.000 0.000 0.000 (multiplicity 4)
4 Se 0.000 0.287 0.626 (multiplicity 8)
5 Se 0.000 0.476 0.250 (multiplicity 4)



B) takes first place; second place is 1.2 kJ/mol of atoms up.



A) First-principles (PBE-GGA) data for a relaxed TiSn3Se crystal, as listed in Alexandria.

Cell lengths 5.328, 5.328, 5.328 Å; angles 90.00, 90.00, 90.00 degrees
Space group Pm-3m (No. 221)
One atom of each set of equivalent atoms:
1 Ti 0.000 0.000 0.000 (multiplicity 1)
2 Sn 0.000 0.000 0.500 (multiplicity 3)
3 Se 0.500 0.500 0.500 (multiplicity 1)

Results
DOS at the Fermi energy (states/eV per cell): 4.07



B) First-principles (PBE-GGA) data for a relaxed TiSn3Se crystal, as listed in Alexandria.

Cell lengths 5.351, 5.351, 5.351 Å; angles 90.00, 90.00, 90.00 degrees
Space group Pm-3m (No. 221)
One atom of each set of equivalent atoms:
1 Ti 0.000 0.000 0.000 (multiplicity 1)
2 Sn 0.000 0.500 0.500 (multiplicity 3)
3 Se 0.500 0.500 0.500 (multiplicity 1)

Results
DOS at the Fermi energy (states/eV per cell): 8.71



A) takes first place; second place is 45.5 kJ/mol of atoms up.



A) First-principles (PBE-GGA) data for a relaxed Ti2SnSe2 crystal, as listed in Alexandria.

Cell lengths 7.538, 7.538, 3.302 Å; angles 90.00, 90.00, 90.00 degrees
Space group P4/mbm (No. 127)
One atom of each set of equivalent atoms:
1 Ti 0.143 0.357 0.000 (multiplicity 4)
2 Sn 0.000 0.000 0.000 (multiplicity 2)
3 Se 0.140 0.640 0.500 (multiplicity 4)

Results
DOS at the Fermi energy (states/eV per cell): 3.24



B) First-principles (PBE-GGA) data for a relaxed Ti2SnSe2 crystal, as listed in Alexandria.

Cell lengths 4.645, 4.645, 9.706 Å; angles 90.00, 90.00, 90.00 degrees
Space group I4/mmm (No. 139)
One atom of each set of equivalent atoms:
1 Ti 0.000 0.500 0.250 (multiplicity 4)
2 Sn 0.000 0.000 0.000 (multiplicity 2)
3 Se 0.000 0.000 0.351 (multiplicity 4)

Results
DOS at the Fermi energy (states/eV per cell): 6.99



A) takes first place; second place is 6.7 kJ/mol of atoms up.



A) First-principles (PBE-GGA) data for a relaxed Ti3SnSe crystal, as listed in Alexandria.

Cell lengths 4.698, 4.698, 4.698 Å; angles 90.00, 90.00, 90.00 degrees
Space group Pm-3m (No. 221)
One atom of each set of equivalent atoms:
1 Ti 0.000 0.000 0.500 (multiplicity 3)
2 Sn 0.500 0.500 0.500 (multiplicity 1)
3 Se 0.000 0.000 0.000 (multiplicity 1)

Results
DOS at the Fermi energy (states/eV per cell): 7.63



B) First-principles (PBE-GGA) data for a relaxed Ti3SnSe crystal, as listed in Alexandria.

Cell lengths 13.800, 4.598, 6.523 Å; angles 90.00, 96.15, 90.00 degrees
Space group C2/m (No. 12)
One atom of each set of equivalent atoms:
1 Ti 0.021 0.000 0.214 (multiplicity 4)
2 Ti 0.188 0.000 0.950 (multiplicity 4)
3 Ti 0.233 0.500 0.664 (multiplicity 4)
4 Sn 0.112 0.500 0.100 (multiplicity 4)
5 Se 0.130 0.000 0.569 (multiplicity 4)

Results
DOS at the Fermi energy (states/eV per cell): 15.05



C) First-principles (PBE-GGA) data for a relaxed Ti3SnSe crystal, as listed in Alexandria.

Cell lengths 5.133, 5.133, 5.133 Å; angles 90.00, 90.00, 90.00 degrees
Space group Pm-3m (No. 221)
One atom of each set of equivalent atoms:
1 Ti 0.000 0.000 0.500 (multiplicity 3)
2 Sn 0.000 0.000 0.000 (multiplicity 1)
3 Se 0.500 0.500 0.500 (multiplicity 1)

Results
DOS at the Fermi energy (states/eV per cell): 5.79



B) takes first place; second place is 29.5 kJ/mol of atoms up.



A) First-principles (PBE-GGA) data for a relaxed TlSnSe crystal, as listed in Alexandria.

Cell lengths 3.830, 6.979, 7.831 Å; angles 115.67, 103.98, 90.23 degrees
Space group P-1 (No. 2)
One atom of each set of equivalent atoms:
1 Tl 0.090 0.415 0.178 (multiplicity 2)
2 Sn 0.382 0.055 0.762 (multiplicity 2)
3 Se 0.246 0.235 0.492 (multiplicity 2)

Results
DOS at the Fermi energy (states/eV per cell): 2.08



B) First-principles (PBE-GGA) data for a relaxed TlSnSe crystal, as listed in Alexandria.

Cell lengths 3.761, 3.761, 11.950 Å; angles 90.00, 90.00, 90.00 degrees
Space group I4mm (No. 107)
One atom of each set of equivalent atoms:
1 Tl 0.000 0.000 0.000 (multiplicity 2)
2 Sn 0.000 0.000 0.300 (multiplicity 2)
3 Se 0.000 0.000 0.693 (multiplicity 2)

Results
DOS at the Fermi energy (states/eV per cell): 2.71



C) First-principles (PBE-GGA) data for a relaxed TlSnSe crystal, as listed in Alexandria.

Cell lengths 5.0156, 5.0156, 4.0707 Å; angles 90.00, 90.00, 120.00 degrees
Space group P3m1 (No. 156)
One atom of each set of equivalent atoms:
1 Tl 0.0000 0.0000 0.0000 (multiplicity 1)
2 Sn 0.3333 0.6667 0.4726 (multiplicity 1)
3 Se 0.6667 0.3333 0.5401 (multiplicity 1)

Results
DOS at the Fermi energy (states/eV per cell): 0.84



A) takes first place; second place is 2.2 kJ/mol of atoms up.



A) First-principles (PBE-GGA) data for a relaxed TlSn2Se crystal, as listed in Alexandria.

Cell lengths 7.510, 7.510, 7.510 Å; angles 90.00, 90.00, 90.00 degrees
Space group Fm-3m (No. 225)
One atom of each set of equivalent atoms:
1 Tl 0.000 0.000 0.000 (multiplicity 4)
2 Sn 0.250 0.250 0.250 (multiplicity 8)
3 Se 0.000 0.000 0.500 (multiplicity 4)

Results
DOS at the Fermi energy (states/eV per cell): 7.81



B) First-principles (PBE-GGA) data for a relaxed TlSn2Se crystal, as listed in Alexandria.

Cell lengths 3.936, 3.936, 7.269 Å; angles 90.00, 90.00, 90.00 degrees
Space group P4/mmm (No. 123)
One atom of each set of equivalent atoms:
1 Tl 0.000 0.000 0.000 (multiplicity 1)
2 Sn 0.500 0.500 0.297 (multiplicity 2)
3 Se 0.000 0.000 0.500 (multiplicity 1)

Results
DOS at the Fermi energy (states/eV per cell): 1.78



C) First-principles (PBE-GGA) data for a relaxed TlSn2Se crystal, as listed in Alexandria.

Cell lengths 6.521, 6.521, 14.096 Å; angles 90.00, 90.00, 90.00 degrees
Space group I-42d (No. 122)
One atom of each set of equivalent atoms:
1 Tl 0.000 0.000 0.000 (multiplicity 4)
2 Sn 0.236 0.250 0.625 (multiplicity 8)
3 Se 0.000 0.000 0.500 (multiplicity 4)

Results
DOS at the Fermi energy (states/eV per cell): 8.98



D) First-principles (PBE-GGA) data for a relaxed TlSn2Se crystal, as listed in Alexandria.

Cell lengths 4.9972, 4.9972, 15.5405 Å; angles 90.00, 90.00, 120.00 degrees
Space group R-3m (No. 166, hexagonal axes)
One atom of each set of equivalent atoms:
1 Tl 0.0000 0.0000 0.0000 (multiplicity 3)
2 Sn 0.0000 0.0000 0.2293 (multiplicity 6)
3 Se 0.0000 0.0000 0.5000 (multiplicity 3)

Results
DOS at the Fermi energy (states/eV per cell): 9.49



B) takes first place; second place is 9.1 kJ/mol of atoms up.